Record 1
This record from the Alexandria database describes crystalline ZrTc2Mo at its relaxed geometry. The functional is GGA-PBE.

```
ZrTc2Mo
1.0
1.589 -2.317 0.000
1.589 2.317 0.000
0.000 0.000 8.981
Zr Tc Mo
1 2 1
Direct
0.000 0.000 0.000 Zr
0.000 0.000 0.506 Tc
0.500 0.500 0.741 Tc
0.500 0.500 0.271 Mo
```

Computed properties:
**Calculated total energy**: -39.6 eV/cell
**SG**: Cmm2 (35)
**DOS at the Fermi energy**: 4.9 states/eV/cell


Record 2
This record from the Alexandria database describes crystalline ZrTc2Mo at its relaxed geometry. The functional is GGA-PBE.

```
ZrTc2Mo
1.0
2.851 0.000 0.000
0.000 4.403 0.000
-0.860 0.000 5.252
Zr Tc Mo
1 2 1
Direct
0.000 0.000 0.000 Zr
0.259 0.500 0.737 Tc
0.741 0.500 0.263 Tc
0.500 0.000 0.500 Mo
```

Computed properties:
**Calculated total energy**: -40.2 eV/cell
**SG**: P2/m (10)
**DOS at the Fermi energy**: 3.2 states/eV/cell


Record 3
This record from the Alexandria database describes crystalline Zr3TcMo at its relaxed geometry. The functional is GGA-PBE.

```
Zr3TcMo
1.0
4.951 0.000 0.000
0.000 4.951 0.000
0.000 0.000 4.951
Zr Tc Mo
3 1 1
Direct
0.000 0.000 0.500 Zr
0.000 0.500 0.000 Zr
0.500 0.000 0.000 Zr
0.000 0.000 0.000 Tc
0.500 0.500 0.500 Mo
```

Computed properties:
**Calculated total energy**: -42.4 eV/cell
**SG**: Pm-3m (221)
**DOS at the Fermi energy**: 5.0 states/eV/cell
**Excess energy over the best structure of this formula in the dataset**: 0.0 meV/atom


Record 4
This record from the Alexandria database describes crystalline ZrTc2Mo at its relaxed geometry. The functional is GGA-PBE.

```
ZrTc2Mo
1.0
2.804 -4.410 0.000
2.804 4.410 0.000
-1.008 0.000 2.658
Zr Tc Mo
1 2 1
Direct
0.000 0.000 0.000 Zr
0.000 0.500 0.500 Tc
0.500 0.000 0.500 Tc
0.500 0.500 0.000 Mo
```

Computed properties:
**Calculated total energy**: -40.2 eV/cell
**SG**: C2/m (12)
**DOS at the Fermi energy**: 3.6 states/eV/cell


Record 5
This record from the Alexandria database describes crystalline ZrTc2Mo at its relaxed geometry. The functional is GGA-PBE.

```
ZrTc2Mo
1.0
-1.595 2.255 4.587
1.595 -2.255 4.587
1.595 2.255 -4.587
Zr Tc Mo
1 2 1
Direct
0.000 0.000 0.000 Zr
0.253 0.753 0.500 Tc
0.501 0.501 0.000 Tc
0.743 0.243 0.500 Mo
```

Computed properties:
**Calculated total energy**: -40.5 eV/cell
**SG**: Imm2 (44)
**DOS at the Fermi energy**: 2.8 states/eV/cell


Record 6
This record from the Alexandria database describes crystalline ZrTc2Mo at its relaxed geometry. The functional is GGA-PBE.

```
ZrTc2Mo
1.0
3.192 0.000 0.000
0.000 3.192 0.000
0.000 0.000 6.485
Zr Tc Mo
1 2 1
Direct
0.000 0.000 0.000 Zr
0.500 0.500 0.266 Tc
0.500 0.500 0.734 Tc
0.000 0.000 0.500 Mo
```

Computed properties:
**Calculated total energy**: -40.9 eV/cell
**SG**: P4/mmm (123)
**DOS at the Fermi energy**: 1.6 states/eV/cell


Record 7
This record from the Alexandria database describes crystalline ZrTc2Mo at its relaxed geometry. The functional is GGA-PBE.

```
ZrTc2Mo
1.0
2.839 0.000 0.000
0.000 4.502 0.000
-0.988 0.000 5.155
Zr Tc Mo
1 2 1
Direct
0.000 0.000 0.000 Zr
0.242 0.500 0.758 Tc
0.510 0.000 0.499 Tc
0.742 0.500 0.272 Mo
```

Computed properties:
**Calculated total energy**: -40.2 eV/cell
**SG**: Pm (6)
**DOS at the Fermi energy**: 3.0 states/eV/cell


Record 8
This record from the Alexandria database describes crystalline ZrTc2Mo at its relaxed geometry. The functional is GGA-PBE.

```
ZrTc2Mo
1.0
1.411 0.814 9.696
-1.411 0.814 9.696
0.000 -1.629 9.696
Zr Tc Mo
1 2 1
Direct
0.000 0.000 0.000 Zr
0.244 0.244 0.244 Tc
0.505 0.505 0.505 Tc
0.759 0.759 0.759 Mo
```

Computed properties:
**Calculated total energy**: -39.2 eV/cell
**SG**: R3m (160)
**DOS at the Fermi energy**: 3.1 states/eV/cell


Energy of formation from the pure elements list, top to bottom, in meV/atom: 127 -26 898 -22 -102 -203 -18 235